Nb3TeRh: relaxed, GGA-PBE.

Its symmetry is Pm-3m, No. 221. As for the total magnetic moment: 0.00 μB per atom. Its crystal system is cubic. The energy comes out at -7.293 eV/atom. The value obtained for the relative energy among the computed polymorphs is 0 meV/atom. As for the raw formation energy: 0.848 eV per atom.

Cell lengths 4.876, 4.876, 4.876 Å; angles 90.00, 90.00, 90.00 degrees
Fractional coordinates of all 5 atoms:
Nb: 0.500 0.000 0.000
Nb: 0.000 0.000 0.500
Nb: 0.000 0.500 0.000
Rh: 0.000 0.000 0.000
Te: 0.500 0.500 0.500